The following is a DFT calculation (PBE) of a relaxed SiSb crystal.

It has space group P6_3/mmc (No. 194), with a = 4.7404 Å, b = 4.7404 Å, c = 5.5639 Å, α = 90.00°, β = 90.00° and γ = 120.00°. Symmetry generates all atoms from Si at (0.3333, 0.6667, 0.2500) and Sb at (0.3333, 0.6667, 0.7500).

As for the formation energy from raw total energies: 0.32 eV/atom.

=====

The following is a DFT calculation (PBE) of a relaxed ErPu2CrN4 crystal.

It has space group Cmcm (No. 63), with a = 3.294 Å, b = 11.362 Å, c = 11.485 Å, α = 90.00°, β = 90.00° and γ = 90.00°. Symmetry generates all atoms from Er at (0.000, 0.113, 0.250), Pu at (0.000, 0.367, 0.050), Cr at (0.000, 0.151, 0.750), N at (0.000, 0.000, 0.000), N at (0.000, 0.271, 0.629) and N at (0.000, 0.452, 0.250).

As for the formation energy from raw total energies: -1.06 eV/atom.

=====

The following is a DFT calculation (PBE) of a relaxed FeSi5 crystal.

It has space group Cmmm (No. 65), with a = 3.653 Å, b = 11.420 Å, c = 3.711 Å, α = 90.00°, β = 90.00° and γ = 90.00°. Symmetry generates all atoms from Fe at (0.000, 0.000, 0.000), Si at (0.000, 0.158, 0.500), Si at (0.000, 0.346, 0.000) and Si at (0.000, 0.500, 0.500).

As for the formation energy from raw total energies: 0.30 eV/atom.

=====

The following is a DFT calculation (PBE) of a relaxed PmPAu crystal.

It has space group F-43m (No. 216), with a = 6.546 Å, b = 6.546 Å, c = 6.546 Å, α = 90.00°, β = 90.00° and γ = 90.00°. Symmetry generates all atoms from Pm at (0.000, 0.000, 0.000), P at (0.250, 0.250, 0.750) and Au at (0.000, 0.000, 0.500).

For the electronic total energy, the calculation gives -61.740 eV/cell.